Record 1
Entry from Alexandria: ZrPIr2 after structural relaxation (PBE-GGA).

## Properties
Energy of formation ... -0.407 eV per atom
Uncorrected energy ... -33.31 eV per formula unit

Cell lengths 3.025, 3.785, 5.735 Å; angles 90.00, 90.00, 90.00 degrees
Space group Pmm2 (No. 25)
Inequivalent atoms, fractional coordinates:
Zr (0.000, 0.000, 0.000) x1
P (0.500, 0.500, 0.644) x1
Ir (0.000, 0.000, 0.527) x1
Ir (0.500, 0.500, 0.231) x1

---

Record 2
Entry from Alexandria: ZrP3Ir after structural relaxation (PBE-GGA).

## Properties
Energy of formation ... 0.443 eV per atom
Uncorrected energy ... -31.42 eV per formula unit

Cell lengths 4.612, 4.612, 4.612 Å; angles 90.00, 90.00, 90.00 degrees
Space group Pm-3m (No. 221)
Inequivalent atoms, fractional coordinates:
Zr (0.000, 0.000, 0.000) x1
P (0.000, 0.500, 0.500) x3
Ir (0.500, 0.500, 0.500) x1

---

Record 3
Entry from Alexandria: ZrP2Ir after structural relaxation (PBE-GGA).

## Properties
Energy of formation ... -0.600 eV per atom
Uncorrected energy ... -30.63 eV per formula unit

Cell lengths 8.865, 3.371, 4.379 Å; angles 90.00, 103.05, 90.00 degrees
Space group Cm (No. 8)
Inequivalent atoms, fractional coordinates:
Zr (0.000, 0.000, 0.000) x2
P (0.004, 0.500, 0.501) x2
P (0.261, 0.000, 0.826) x2
Ir (0.273, 0.500, 0.416) x2

---

Record 4
Entry from Alexandria: ZrP2Ir after structural relaxation (PBE-GGA).

## Properties
Energy of formation ... -0.626 eV per atom
Uncorrected energy ... -30.73 eV per formula unit

Cell lengths 4.389, 4.389, 3.139 Å; angles 90.00, 90.00, 90.00 degrees
Space group P4/mmm (No. 123)
Inequivalent atoms, fractional coordinates:
Zr (0.000, 0.000, 0.000) x1
P (0.000, 0.500, 0.500) x2
Ir (0.500, 0.500, 0.000) x1

---

Record 5
Entry from Alexandria: ZrP2Ir after structural relaxation (PBE-GGA).

## Properties
Energy of formation ... -0.578 eV per atom
Uncorrected energy ... -30.54 eV per formula unit

Cell lengths 3.900, 5.062, 6.504 Å; angles 90.00, 90.00, 90.00 degrees
Space group Immm (No. 71)
Inequivalent atoms, fractional coordinates:
Zr (0.000, 0.000, 0.000) x2
P (0.000, 0.500, 0.206) x4
Ir (0.000, 0.000, 0.500) x2

---

Record 6
Entry from Alexandria: Zr2PIr after structural relaxation (PBE-GGA).

## Properties
Energy of formation ... -0.830 eV per atom
Uncorrected energy ... -34.69 eV per formula unit

Cell lengths 3.111, 3.410, 6.882 Å; angles 90.00, 99.35, 90.00 degrees
Space group P2/m (No. 10)
Inequivalent atoms, fractional coordinates:
Zr (0.077, 0.000, 0.256) x2
P (0.500, 0.500, 0.500) x1
Ir (0.500, 0.500, 0.000) x1